# 1
Sm3AsSe2: relaxed, PBE.

## Properties
total magnetic moment: 0.000 μB/f.u.
space-group type: Immm (71)
polymorph energy (0 for the lowest one): 0 meV/atom
energy relative to the elements, uncorrected: -10.64 eV per formula unit
DOS at the Fermi energy: 0.381 states/eV/atom
electronic total energy: -6.07 eV/atom

Cell and atoms, written as POSCAR:
```
Sm3AsSe2
1.0
4.177 0.000 0.000
0.000 5.910 0.000
-2.089 -2.955 6.321
Se Sm As
2 3 1
Direct
0.832 0.832 0.164
0.168 0.168 0.836
0.500 0.000 0.500
0.840 0.340 0.180
0.160 0.660 0.820
0.500 0.500 0.500
```



# 2
Sm3AsSe2: relaxed, PBE.

## Properties
total magnetic moment: 0.000 μB/f.u.
space-group type: C2/c (15)
polymorph energy (0 for the lowest one): 5 meV/atom
energy relative to the elements, uncorrected: -10.61 eV per formula unit
DOS at the Fermi energy: 0.471 states/eV/atom
electronic total energy: -6.06 eV/atom

Cell and atoms, written as POSCAR:
```
Sm3AsSe2
1.0
7.121 0.349 -1.387
-2.187 6.049 -3.348
0.185 -0.253 7.245
Sm Se As
6 4 2
Direct
0.000 0.500 0.000
0.500 0.000 0.500
0.999 0.181 0.340
0.499 0.340 0.181
0.001 0.819 0.660
0.501 0.660 0.819
0.750 0.752 0.248
0.750 0.083 0.917
0.250 0.248 0.752
0.250 0.917 0.083
0.250 0.585 0.415
0.750 0.415 0.585
```



# 3
SmAsSe: relaxed, PBE.

## Properties
total magnetic moment: 0.000 μB/f.u.
space-group type: I4/mmm (139)
energy relative to the elements, uncorrected: -4.27 eV per formula unit
DOS at the Fermi energy: 0.452 states/eV/atom
electronic total energy: -5.71 eV/atom

Cell and atoms, written as POSCAR:
```
SmAsSe
1.0
-0.260 -2.831 -2.782
0.631 -2.782 2.772
-9.031 2.219 1.429
Se Sm As
2 2 2
Direct
0.188 0.188 0.376
0.812 0.812 0.624
0.639 0.639 0.278
0.361 0.361 0.722
0.500 0.000 0.000
0.000 0.500 0.000
```



# 4
Sm4AsSe3: relaxed, PBE.

## Properties
total magnetic moment: 0.000 μB/f.u.
space-group type: Cmmm (65)
energy relative to the elements, uncorrected: -14.28 eV per formula unit
DOS at the Fermi energy: 0.336 states/eV/atom
electronic total energy: -6.03 eV/atom

Cell and atoms, written as POSCAR:
```
Sm4AsSe3
1.0
4.174 0.000 0.000
0.000 6.872 -2.341
0.000 -0.055 7.260
Sm Se As
4 3 1
Direct
0.500 0.244 0.756
0.500 0.756 0.244
0.000 0.759 0.759
0.000 0.241 0.241
0.000 0.500 0.000
0.500 0.500 0.500
0.000 0.000 0.500
0.500 0.000 0.000
```



# 5
Sm8As4Se3: relaxed, PBE.

## Properties
total magnetic moment: 0.000 μB/f.u.
space-group type: C2/m (12)
energy relative to the elements, uncorrected: -23.51 eV per formula unit
DOS at the Fermi energy: 0.420 states/eV/atom
electronic total energy: -6.02 eV/atom

Cell and atoms, written as POSCAR:
```
Sm8As4Se3
1.0
8.357 -0.110 -0.158
-4.072 7.287 0.126
-4.072 -2.411 6.878
Sm As Se
8 4 3
Direct
0.000 0.247 0.753
0.005 0.753 0.753
0.509 0.758 0.758
0.995 0.247 0.247
0.500 0.246 0.754
0.500 0.754 0.246
0.000 0.753 0.247
0.491 0.242 0.242
0.000 0.000 0.000
0.000 0.000 0.500
0.000 0.500 0.000
0.500 0.000 0.000
0.500 0.500 0.500
0.500 0.000 0.500
0.500 0.500 0.000
```



# 6
Sm4As2Se: relaxed, PBE.

## Properties
total magnetic moment: 0.000 μB/f.u.
space-group type: I4_1/amd (141)
energy relative to the elements, uncorrected: -8.52 eV per formula unit
DOS at the Fermi energy: 0.884 states/eV/atom
electronic total energy: -5.74 eV/atom

Cell and atoms, written as POSCAR:
```
Sm4As2Se
1.0
-2.496 -7.476 -1.325
7.159 -0.140 3.550
-5.196 3.771 4.761
As Sm Se
4 8 2
Direct
0.750 0.375 0.625
0.250 0.875 0.625
0.250 0.375 0.625
0.750 0.375 0.125
0.694 0.618 0.925
0.194 0.675 0.868
0.694 0.075 0.769
0.806 0.132 0.325
0.306 0.075 0.382
0.194 0.519 0.325
0.306 0.231 0.925
0.806 0.675 0.481
0.000 0.000 0.000
0.500 0.750 0.250
```



| no. | calculated volume (Å³/cell) | theoretical density (g/cm³) |
| --- | --- | --- |
| 1 | 156.0 | 7.278 |
| 2 | 312.2 | 7.276 |
| 3 | 142.1 | 7.112 |
| 4 | 207.7 | 7.301 |
| 5 | 412.1 | 7.009 |
| 6 | 393.0 | 7.016 |